1.
Zr2TaZn: relaxed, PBE-GGA.

## Properties
The value obtained for the formation energy is -0.02 eV/atom. The crystal system is tetragonal. The density of states at the Fermi level comes out at 3.43 states/eV/cell.

Cell: 4.3564 4.3580 4.1137 Å, 90.00 90.00 90.00°
Atoms (fractional coordinates):
1 Ta 0.5000 0.0000 0.5000
2 Zr 0.5000 0.5000 0.0000
3 Zr 0.0000 0.0000 0.0000
4 Zn 0.0000 0.5000 0.5000


2.
ZrTaZn2: relaxed, PBE-GGA.

## Properties
The value obtained for the formation energy is -0.04 eV/atom. The crystal system is tetragonal. The density of states at the Fermi level comes out at 3.01 states/eV/cell.

Cell: 2.9482 2.9482 8.0473 Å, 90.00 90.00 90.03°
Atoms (fractional coordinates):
1 Zr 0.0000 0.0000 0.4860
2 Zn 0.0000 0.0000 0.0170
3 Zn 0.5000 0.5000 0.2208
4 Ta 0.5000 0.5000 0.7762


3.
Zr5TaZn4: relaxed, PBE-GGA.

## Properties
The value obtained for the formation energy is -0.19 eV/atom. The crystal system is tetragonal. The density of states at the Fermi level comes out at 6.25 states/eV/cell.

Cell: 3.3686 3.3686 16.8661 Å, 90.00 90.00 90.00°
Atoms (fractional coordinates):
1 Zn 0.0000 0.0000 0.7951
2 Zn 0.0000 0.0000 0.2049
3 Zn 0.0000 0.0000 0.4021
4 Zn 0.0000 0.0000 0.5979
5 Zr 0.5000 0.5000 0.8957
6 Zr 0.5000 0.5000 0.3035
7 Zr 0.5000 0.5000 0.6965
8 Zr 0.5000 0.5000 0.5000
9 Zr 0.5000 0.5000 0.1043
10 Ta 0.0000 0.0000 0.0000


4.
ZrTa2Zn: relaxed, PBE-GGA.

## Properties
The value obtained for the formation energy is 0.03 eV/atom. The crystal system is orthorhombic. The density of states at the Fermi level comes out at 4.23 states/eV/cell.

Cell: 2.8898 2.8898 9.2722 Å, 90.00 90.00 106.41°
Atoms (fractional coordinates):
1 Ta 0.0000 0.0000 0.0103
2 Ta 0.5000 0.5000 0.2523
3 Zr 0.5000 0.5000 0.7479
4 Zn 0.0000 0.0000 0.4895


5.
ZrTaZn: relaxed, PBE-GGA.

## Properties
The value obtained for the formation energy is 0.15 eV/atom. The crystal system is trigonal. As for the energy above the most stable polymorph in this dataset: 162 meV per atom. The density of states at the Fermi level comes out at 3.36 states/eV/cell.

Cell: 2.9444 2.9444 7.5547 Å, 90.00 90.00 120.00°
Atoms (fractional coordinates):
1 Zn 0.3333 0.6667 0.3260
2 Ta 0.0000 0.0000 0.0166
3 Zr 0.6667 0.3333 0.6574


6.
ZrTa2Zn: relaxed, PBE-GGA.

## Properties
The value obtained for the formation energy is 0.12 eV/atom. The crystal system is monoclinic. The density of states at the Fermi level comes out at 3.82 states/eV/cell.

Cell: 4.9558 2.9154 5.1807 Å, 84.65 90.00 90.00°
Atoms (fractional coordinates):
1 Zn 0.5000 0.2500 0.2500
2 Ta 0.0000 0.0348 0.9986
3 Ta 0.0000 0.4652 0.5014
4 Zr 0.5000 0.7500 0.7500